The following is a DFT calculation (PBE) of crystalline TbCoSi at its relaxed geometry.

a = 6.663 Å, b = 6.663 Å, c = 3.821 Å
α = 90.00°, β = 90.00°, γ = 120.00°
Sites, in units of the cell vectors:
Tb: 0.000 0.579 0.000
Tb: 0.421 0.421 0.000
Tb: 0.579 0.000 0.000
Co: 0.000 0.000 0.000
Co: 0.333 0.667 0.500
Co: 0.667 0.333 0.500
Si: 0.000 0.234 0.500
Si: 0.234 0.000 0.500
Si: 0.766 0.766 0.500

Values from the calculation:
VASP energy in eV for the cell shown: -56.8

The following is a DFT calculation (PBE) of crystalline LiYZnCo at its relaxed geometry.

a = 4.537 Å, b = 4.537 Å, c = 4.537 Å
α = 60.00°, β = 60.00°, γ = 60.00°
Sites, in units of the cell vectors:
Li: 0.000 0.000 0.000
Y: 0.250 0.250 0.250
Zn: 0.500 0.500 0.500
Co: 0.750 0.750 0.750

Values from the calculation:
Energy above the most stable polymorph in this dataset in meV/atom: 149

The following is a DFT calculation (PBE) of crystalline Ho2TmIn3CuPt2 at its relaxed geometry.

a = 3.701 Å, b = 7.716 Å, c = 7.716 Å
α = 119.93°, β = 90.00°, γ = 90.00°
Sites, in units of the cell vectors:
Ho: 0.000 0.205 0.795
Ho: 0.000 0.795 0.205
Tm: 0.000 0.616 0.616
In: 0.500 0.206 0.460
In: 0.500 0.460 0.206
In: 0.500 0.950 0.950
Cu: 0.000 0.206 0.206
Pt: 0.500 0.540 0.871
Pt: 0.500 0.871 0.540

Values from the calculation:
VASP energy in eV for the cell shown: -45.2

The following is a DFT calculation (PBE) of crystalline KLi2Hf at its relaxed geometry.

a = 4.602 Å, b = 6.290 Å, c = 7.999 Å
α = 93.67°, β = 90.07°, γ = 90.18°
Sites, in units of the cell vectors:
K: 0.249 0.242 0.407
K: 0.751 0.758 0.593
Li: 0.250 0.086 0.954
Li: 0.251 0.739 0.237
Li: 0.749 0.261 0.763
Li: 0.750 0.914 0.046
Hf: 0.250 0.542 0.914
Hf: 0.750 0.458 0.086

Values from the calculation:
VASP energy in eV for the cell shown: -25.5

The following is a DFT calculation (PBE) of crystalline SmBeFe at its relaxed geometry.

a = 4.393 Å, b = 4.393 Å, c = 4.393 Å
α = 60.00°, β = 60.00°, γ = 60.00°
Sites, in units of the cell vectors:
Sm: 0.000 0.000 0.000
Be: 0.750 0.750 0.750
Fe: 0.250 0.250 0.250

Values from the calculation:
Energy above the most stable polymorph in this dataset in meV/atom: 645

The following is a DFT calculation (PBE) of crystalline PuPaAl4 at its relaxed geometry.

a = 5.509 Å, b = 5.509 Å, c = 5.509 Å
α = 60.00°, β = 60.00°, γ = 60.00°
Sites, in units of the cell vectors:
Pu: 0.000 0.000 0.000
Pa: 0.250 0.250 0.250
Al: 0.125 0.625 0.625
Al: 0.625 0.125 0.625
Al: 0.625 0.625 0.125
Al: 0.625 0.625 0.625

Values from the calculation:
VASP energy in eV for the cell shown: -41.0

The following is a DFT calculation (PBE) of crystalline AlFeBiH6 at its relaxed geometry.

a = 4.815 Å, b = 4.815 Å, c = 4.815 Å
α = 60.00°, β = 60.00°, γ = 60.00°
Sites, in units of the cell vectors:
Al: 0.000 0.000 0.000
Fe: 0.250 0.250 0.250
Bi: 0.500 0.500 0.500
H: 0.008 0.008 0.492
H: 0.008 0.492 0.008
H: 0.008 0.492 0.492
H: 0.492 0.008 0.008
H: 0.492 0.008 0.492
H: 0.492 0.492 0.008

Values from the calculation:
VASP energy in eV for the cell shown: -33.3

The following is a DFT calculation (PBE) of crystalline Hf4SiBiN2 at its relaxed geometry.

a = 3.302 Å, b = 3.302 Å, c = 13.732 Å
α = 90.00°, β = 90.00°, γ = 120.00°
Sites, in units of the cell vectors:
Hf: 0.000 0.000 0.145
Hf: 0.000 0.000 0.855
Hf: 0.333 0.667 0.323
Hf: 0.333 0.667 0.677
Si: 0.333 0.667 0.000
Bi: 0.000 0.000 0.500
N: 0.667 0.333 0.234
N: 0.667 0.333 0.766

Values from the calculation:
VASP energy in eV for the cell shown: -73.5

The following is a DFT calculation (PBE) of crystalline UNiHg at its relaxed geometry.

a = 4.729 Å, b = 4.729 Å, c = 4.729 Å
α = 60.00°, β = 60.00°, γ = 60.00°
Sites, in units of the cell vectors:
U: 0.000 0.000 0.000
Ni: 0.250 0.250 0.250
Hg: 0.750 0.750 0.750

Values from the calculation:
Energy above the most stable polymorph in this dataset in meV/atom: 22
Formation energy in eV/atom: 0.90

The following is a DFT calculation (PBE) of crystalline Nb3PtN4 at its relaxed geometry.

a = 5.866 Å, b = 5.866 Å, c = 5.866 Å
α = 131.80°, β = 131.80°, γ = 70.55°
Sites, in units of the cell vectors:
Nb: 0.000 0.000 0.000
Nb: 0.250 0.750 0.500
Nb: 0.750 0.250 0.500
Pt: 0.500 0.500 0.000
N: 0.098 0.098 0.463
N: 0.364 0.902 0.000
N: 0.636 0.636 0.537
N: 0.902 0.364 0.000

Values from the calculation:
VASP energy in eV for the cell shown: -72.7

The following is a DFT calculation (PBE) of crystalline ReP3 at its relaxed geometry.

a = 15.436 Å, b = 3.138 Å, c = 5.159 Å
α = 90.00°, β = 90.00°, γ = 90.00°
Sites, in units of the cell vectors:
Re: 0.150 0.250 0.150
Re: 0.350 0.750 0.650
Re: 0.650 0.250 0.350
Re: 0.850 0.750 0.850
P: 0.013 0.250 0.353
P: 0.118 0.750 0.820
P: 0.207 0.750 0.478
P: 0.293 0.250 0.978
P: 0.382 0.250 0.320
P: 0.487 0.750 0.853
P: 0.513 0.250 0.147
P: 0.618 0.750 0.680
P: 0.707 0.750 0.022
P: 0.793 0.250 0.522
P: 0.882 0.250 0.180
P: 0.987 0.750 0.647

Values from the calculation:
VASP energy in eV for the cell shown: -119.8

The following is a DFT calculation (PBE) of crystalline ScHgB at its relaxed geometry.

a = 4.367 Å, b = 4.367 Å, c = 4.367 Å
α = 60.00°, β = 60.00°, γ = 60.00°
Sites, in units of the cell vectors:
Sc: 0.000 0.000 0.000
Hg: 0.250 0.250 0.250
B: 0.750 0.750 0.750

Values from the calculation:
Energy above the most stable polymorph in this dataset in meV/atom: 785

The following is a DFT calculation (PBE) of crystalline Sc4Si3W2N3 at its relaxed geometry.

a = 5.434 Å, b = 5.434 Å, c = 13.393 Å
α = 101.78°, β = 101.78°, γ = 60.18°
Sites, in units of the cell vectors:
Sc: 0.034 0.200 0.098
Sc: 0.133 0.300 0.402
Sc: 0.200 0.034 0.598
Sc: 0.300 0.133 0.902
Sc: 0.700 0.867 0.098
Sc: 0.800 0.966 0.402
Sc: 0.867 0.700 0.598
Sc: 0.966 0.800 0.902
Si: 0.142 0.858 0.250
Si: 0.312 0.413 0.750
Si: 0.413 0.312 0.250
Si: 0.587 0.688 0.750
Si: 0.688 0.587 0.250
Si: 0.858 0.142 0.750
W: 0.362 0.530 0.087
W: 0.470 0.638 0.413
W: 0.530 0.362 0.587
W: 0.638 0.470 0.913
N: 0.000 0.500 0.000
N: 0.163 0.668 0.500
N: 0.332 0.837 0.000
N: 0.500 0.000 0.500
N: 0.668 0.163 0.000
N: 0.837 0.332 0.500

Values from the calculation:
VASP energy in eV for the cell shown: -207.4

The following is a DFT calculation (PBE) of crystalline Ba2HfO4 at its relaxed geometry.

a = 7.372 Å, b = 7.372 Å, c = 7.372 Å
α = 147.22°, β = 147.22°, γ = 47.04°
Sites, in units of the cell vectors:
Ba: 0.148 0.148 0.000
Ba: 0.852 0.852 0.000
Hf: 0.500 0.500 0.000
O: 0.000 0.500 0.500
O: 0.344 0.344 0.000
O: 0.500 0.000 0.500
O: 0.656 0.656 0.000

Values from the calculation:
VASP energy in eV for the cell shown: -55.6

The following is a DFT calculation (PBE) of crystalline DyHo2 at its relaxed geometry.

a = 5.384 Å, b = 5.384 Å, c = 5.384 Å
α = 60.00°, β = 60.00°, γ = 60.00°
Sites, in units of the cell vectors:
Dy: 0.000 0.000 0.000
Ho: 0.250 0.250 0.250
Ho: 0.750 0.750 0.750

Values from the calculation:
Energy above the most stable polymorph in this dataset in meV/atom: 734
Formation energy in eV/atom: 0.73

The following is a DFT calculation (PBE) of crystalline ScBeNiPb at its relaxed geometry.

a = 4.542 Å, b = 4.542 Å, c = 4.542 Å
α = 60.00°, β = 60.00°, γ = 60.00°
Sites, in units of the cell vectors:
Sc: 0.000 0.000 0.000
Be: 0.250 0.250 0.250
Ni: 0.500 0.500 0.500
Pb: 0.750 0.750 0.750

Values from the calculation:
Energy above the most stable polymorph in this dataset in meV/atom: 123

The following is a DFT calculation (PBE) of crystalline GdZr2Al3Cu2Ni at its relaxed geometry.

a = 3.957 Å, b = 6.752 Å, c = 6.752 Å
α = 119.81°, β = 90.00°, γ = 90.00°
Sites, in units of the cell vectors:
Gd: 0.000 0.000 0.000
Zr: 0.000 0.184 0.592
Zr: 0.000 0.592 0.184
Al: 0.500 0.354 0.354
Al: 0.500 0.580 0.826
Al: 0.500 0.826 0.580
Cu: 0.500 0.261 0.919
Cu: 0.500 0.919 0.261
Ni: 0.000 0.579 0.579

Values from the calculation:
VASP energy in eV for the cell shown: -50.3

The following is a DFT calculation (PBE) of crystalline Sc2CdTc at its relaxed geometry.

a = 4.611 Å, b = 4.611 Å, c = 3.576 Å
α = 90.00°, β = 90.00°, γ = 90.00°
Sites, in units of the cell vectors:
Sc: 0.000 0.500 0.000
Sc: 0.500 0.000 0.000
Cd: 0.000 0.000 0.500
Tc: 0.500 0.500 0.500

Values from the calculation:
Formation energy in eV/atom: -0.18

The following is a DFT calculation (PBE) of crystalline LaTmMo at its relaxed geometry.

a = 4.935 Å, b = 4.935 Å, c = 4.935 Å
α = 60.00°, β = 60.00°, γ = 60.00°
Sites, in units of the cell vectors:
La: 0.000 0.000 0.000
Tm: 0.250 0.250 0.250
Mo: 0.500 0.500 0.500

Values from the calculation:
Formation energy in eV/atom: 1.15

The following is a DFT calculation (PBE) of crystalline TbPrGa2Pd4 at its relaxed geometry.

a = 4.437 Å, b = 4.437 Å, c = 9.249 Å
α = 90.00°, β = 90.00°, γ = 120.00°
Sites, in units of the cell vectors:
Tb: 0.000 0.000 0.000
Pr: 0.333 0.667 0.500
Ga: 0.667 0.333 0.244
Ga: 0.667 0.333 0.756
Pd: 0.000 0.000 0.318
Pd: 0.000 0.000 0.682
Pd: 0.333 0.667 0.165
Pd: 0.333 0.667 0.835

Values from the calculation:
VASP energy in eV for the cell shown: -43.0